The following is a PBE calculation of K2CeCuO4 after structural relaxation, from the Alexandria database.

Summary:
- Calculated total energy: -93.55 eV per cell
- Energy relative to the elements, uncorrected: -1.84 eV/atom

Geometry as CIF:
```
data_K2CeCuO4
_chemical_formula_sum 'K4 Ce2 Cu2 O8'
_cell_length_a 6.158
_cell_length_b 6.158
_cell_length_c 7.286
_cell_angle_alpha 90.00
_cell_angle_beta 90.00
_cell_angle_gamma 90.00
_symmetry_space_group_name_H-M 'I -4'
_symmetry_Int_Tables_number 82
loop_
_symmetry_equiv_pos_as_xyz
'x,y,z'
'y,-x,-z'
'-x,-y,z'
'-y,x,-z'
'x+1/2,y+1/2,z+1/2'
'y+1/2,-x+1/2,-z+1/2'
'-x+1/2,-y+1/2,z+1/2'
'-y+1/2,x+1/2,-z+1/2'
loop_
_atom_site_label
_atom_site_fract_x
_atom_site_fract_y
_atom_site_fract_z
_atom_site_occupancy
K1 0.000 0.000 0.000 1
K2 0.000 0.500 0.250 1
Ce1 0.000 0.500 0.750 1
Cu1 0.000 0.000 0.500 1
O1 0.157 0.260 0.585 1
```


The following is a PBE calculation of Cs3Ca2AgCl9 after structural relaxation, from the Alexandria database.

Summary:
- Calculated total energy: -53.53 eV per cell
- Energy relative to the elements, uncorrected: -1.83 eV/atom

Geometry as CIF:
```
data_Cs3Ca2AgCl9
_chemical_formula_sum 'Cs3 Ca2 Ag1 Cl9'
_cell_length_a 7.6314
_cell_length_b 7.6314
_cell_length_c 9.3852
_cell_angle_alpha 90.00
_cell_angle_beta 90.00
_cell_angle_gamma 120.00
_symmetry_space_group_name_H-M 'P -3 m 1'
_symmetry_Int_Tables_number 164
_symmetry_space_group_name_Hall '-P 3 2"'
loop_
_atom_site_label
_atom_site_fract_x
_atom_site_fract_y
_atom_site_fract_z
_atom_site_occupancy
Cs1 0.0000 0.0000 0.0000 1
Cs2 0.3333 0.6667 0.6609 1
Ca1 0.3333 0.6667 0.1694 1
Ag1 0.0000 0.0000 0.5000 1
Cl1 0.0000 0.5000 0.0000 1
Cl2 0.1640 0.3280 0.3384 1
```


The following is a PBE calculation of Cr3SiOs after structural relaxation, from the Alexandria database.

Summary:
- Calculated total energy: -38.43 eV per cell
- Energy relative to the elements, uncorrected: 1.42 eV/atom

Geometry as CIF:
```
data_Cr3SiOs
_chemical_formula_sum 'Cr3 Si1 Os1'
_cell_length_a 4.658
_cell_length_b 4.658
_cell_length_c 4.658
_cell_angle_alpha 90.00
_cell_angle_beta 90.00
_cell_angle_gamma 90.00
_symmetry_space_group_name_H-M 'P m -3 m'
_symmetry_Int_Tables_number 221
_symmetry_space_group_name_Hall '-P 4 2 3'
loop_
_atom_site_label
_atom_site_fract_x
_atom_site_fract_y
_atom_site_fract_z
_atom_site_occupancy
Cr1 0.000 0.000 0.500 1
Si1 0.500 0.500 0.500 1
Os1 0.000 0.000 0.000 1
```


The following is a PBE calculation of ZrCo2Hg after structural relaxation, from the Alexandria database.

Summary:
- Energy relative to the elements: -0.0332 eV per atom
- Calculated total energy: -23.19 eV per cell

Geometry as CIF:
```
data_ZrCo2Hg
_chemical_formula_sum 'Zr1 Co2 Hg1'
_cell_length_a 4.200
_cell_length_b 4.200
_cell_length_c 3.471
_cell_angle_alpha 90.00
_cell_angle_beta 90.00
_cell_angle_gamma 90.00
_symmetry_space_group_name_H-M 'P 4/m m m'
_symmetry_Int_Tables_number 123
_symmetry_space_group_name_Hall '-P 4 2'
loop_
_atom_site_label
_atom_site_fract_x
_atom_site_fract_y
_atom_site_fract_z
_atom_site_occupancy
Zr1 0.000 0.000 0.000 1
Co1 0.000 0.500 0.500 1
Hg1 0.500 0.500 0.000 1
```


The following is a PBE calculation of TlSiAu3 after structural relaxation, from the Alexandria database.

Summary:
- Calculated total energy: -17.49 eV per cell
- Energy relative to the elements, uncorrected: 0.03 eV/atom

Geometry as CIF:
```
data_TlSiAu3
_chemical_formula_sum 'Tl1 Si1 Au3'
_cell_length_a 4.879
_cell_length_b 4.879
_cell_length_c 4.879
_cell_angle_alpha 90.00
_cell_angle_beta 90.00
_cell_angle_gamma 90.00
_symmetry_space_group_name_H-M 'P m -3 m'
_symmetry_Int_Tables_number 221
_symmetry_space_group_name_Hall '-P 4 2 3'
loop_
_atom_site_label
_atom_site_fract_x
_atom_site_fract_y
_atom_site_fract_z
_atom_site_occupancy
Tl1 0.000 0.000 0.000 1
Si1 0.500 0.500 0.500 1
Au1 0.000 0.500 0.500 1
```


The following is a PBE calculation of ZnCuPtRh after structural relaxation, from the Alexandria database.

Summary:
- Energy relative to the elements: -0.2476 eV per atom
- Calculated total energy: -79.01 eV per cell

Geometry as CIF:
```
data_ZnCuPtRh
_chemical_formula_sum 'Zn4 Cu4 Pt4 Rh4'
_cell_length_a 6.056
_cell_length_b 6.056
_cell_length_c 6.056
_cell_angle_alpha 90.00
_cell_angle_beta 90.00
_cell_angle_gamma 90.00
_symmetry_space_group_name_H-M 'F -4 3 m'
_symmetry_Int_Tables_number 216
_symmetry_space_group_name_Hall 'F -4 2 3'
loop_
_atom_site_label
_atom_site_fract_x
_atom_site_fract_y
_atom_site_fract_z
_atom_site_occupancy
Zn1 0.000 0.000 0.000 1
Cu1 0.000 0.000 0.500 1
Pt1 0.250 0.250 0.250 1
Rh1 0.250 0.250 0.750 1
```


The following is a PBE calculation of La2Y5ErTh after structural relaxation, from the Alexandria database.

Summary:
- Energy relative to the elements: 0.2806 eV per atom
- Calculated total energy: -206.53 eV per cell

Geometry as CIF:
```
data_La2Y5ErTh
_chemical_formula_sum 'La8 Y20 Er4 Th4'
_cell_length_a 8.726
_cell_length_b 8.726
_cell_length_c 15.699
_cell_angle_alpha 90.00
_cell_angle_beta 90.00
_cell_angle_gamma 90.00
_symmetry_space_group_name_H-M 'I 4/m c m'
_symmetry_Int_Tables_number 140
_symmetry_space_group_name_Hall '-I 4 2c'
loop_
_atom_site_label
_atom_site_fract_x
_atom_site_fract_y
_atom_site_fract_z
_atom_site_occupancy
La1 0.117 0.383 0.000 1
Y1 0.000 0.000 0.000 1
Y2 0.216 0.284 0.358 1
Er1 0.000 0.500 0.250 1
Th1 0.000 0.000 0.250 1
```


The following is a PBE calculation of Y4Ho3Er4 after structural relaxation, from the Alexandria database.

Summary:
- Energy relative to the elements: 0.0641 eV per atom
- Calculated total energy: -57.14 eV per cell

Geometry as CIF:
```
data_Y4Ho3Er4
_chemical_formula_sum 'Y4 Ho3 Er4'
_cell_length_a 3.495
_cell_length_b 5.574
_cell_length_c 17.988
_cell_angle_alpha 81.13
_cell_angle_beta 84.44
_cell_angle_gamma 90.00
_symmetry_space_group_name_H-M 'P -1'
_symmetry_Int_Tables_number 2
loop_
_symmetry_equiv_pos_as_xyz
'x,y,z'
'-x,-y,-z'
loop_
_atom_site_label
_atom_site_fract_x
_atom_site_fract_y
_atom_site_fract_z
_atom_site_occupancy
Y1 0.090 0.090 0.320 1
Y2 0.233 0.733 0.034 1
Ho1 0.364 0.364 0.773 1
Ho2 0.500 0.000 0.500 1
Er1 0.045 0.545 0.409 1
Er2 0.180 0.180 0.140 1
```


The following is a PBE calculation of CeGdCoOs after structural relaxation, from the Alexandria database.

Summary:
- Energy relative to the elements: -0.1129 eV per atom
- Calculated total energy: -155.21 eV per cell

Geometry as CIF:
```
data_CeGdCoOs
_chemical_formula_sum 'Ce4 Gd4 Co4 Os4'
_cell_length_a 6.848
_cell_length_b 6.848
_cell_length_c 6.848
_cell_angle_alpha 90.00
_cell_angle_beta 90.00
_cell_angle_gamma 90.00
_symmetry_space_group_name_H-M 'F -4 3 m'
_symmetry_Int_Tables_number 216
_symmetry_space_group_name_Hall 'F -4 2 3'
loop_
_atom_site_label
_atom_site_fract_x
_atom_site_fract_y
_atom_site_fract_z
_atom_site_occupancy
Ce1 0.000 0.000 0.000 1
Gd1 0.000 0.000 0.500 1
Co1 0.250 0.250 0.750 1
Os1 0.250 0.250 0.250 1
```


The following is a PBE calculation of TcMoSeBr2 after structural relaxation, from the Alexandria database.

Summary:
- Calculated total energy: -23.53 eV per cell
- Energy relative to the elements, uncorrected: 0.90 eV/atom

Geometry as CIF:
```
data_TcMoSeBr2
_chemical_formula_sum 'Tc1 Mo1 Se1 Br2'
_cell_length_a 5.265
_cell_length_b 5.265
_cell_length_c 4.705
_cell_angle_alpha 90.00
_cell_angle_beta 90.00
_cell_angle_gamma 90.00
_symmetry_space_group_name_H-M 'P 4/m m m'
_symmetry_Int_Tables_number 123
_symmetry_space_group_name_Hall '-P 4 2'
loop_
_atom_site_label
_atom_site_fract_x
_atom_site_fract_y
_atom_site_fract_z
_atom_site_occupancy
Tc1 0.000 0.000 0.000 1
Mo1 0.500 0.500 0.500 1
Se1 0.000 0.000 0.500 1
Br1 0.000 0.500 0.000 1
```


The following is a PBE calculation of Tl2Te3O8 after structural relaxation, from the Alexandria database.

Summary:
- Calculated total energy: -130.42 eV per cell
- Energy relative to the elements, uncorrected: -0.88 eV/atom

Geometry as CIF:
```
data_Tl2Te3O8
_chemical_formula_sum 'Tl4 Te6 O16'
_cell_length_a 14.139
_cell_length_b 6.340
_cell_length_c 5.881
_cell_angle_alpha 90.00
_cell_angle_beta 110.95
_cell_angle_gamma 90.00
_symmetry_space_group_name_H-M 'C 1 2/m 1'
_symmetry_Int_Tables_number 12
loop_
_symmetry_equiv_pos_as_xyz
'x,y,z'
'-x,-y,-z'
'-x,y,-z'
'x,-y,z'
'x+1/2,y+1/2,z'
'-x+1/2,-y+1/2,-z'
'-x+1/2,y+1/2,-z'
'x+1/2,-y+1/2,z'
loop_
_atom_site_label
_atom_site_fract_x
_atom_site_fract_y
_atom_site_fract_z
_atom_site_occupancy
Tl1 0.200 0.000 0.183 1
Te1 0.000 0.247 0.500 1
Te2 0.000 0.500 0.000 1
O1 0.073 0.274 0.891 1
O2 0.091 0.000 0.497 1
O3 0.101 0.500 0.326 1
```


The following is a PBE calculation of Be2Cd2CuPt5 after structural relaxation, from the Alexandria database.

Summary:
- Energy relative to the elements: -0.4430 eV per atom
- Calculated total energy: -96.03 eV per cell

Geometry as CIF:
```
data_Be2Cd2CuPt5
_chemical_formula_sum 'Be4 Cd4 Cu2 Pt10'
_cell_length_a 9.420
_cell_length_b 9.420
_cell_length_c 3.309
_cell_angle_alpha 90.00
_cell_angle_beta 90.00
_cell_angle_gamma 90.00
_symmetry_space_group_name_H-M 'P 4/m b m'
_symmetry_Int_Tables_number 127
_symmetry_space_group_name_Hall '-P 4 2ab'
loop_
_atom_site_label
_atom_site_fract_x
_atom_site_fract_y
_atom_site_fract_z
_atom_site_occupancy
Be1 0.127 0.373 0.000 1
Cd1 0.176 0.676 0.000 1
Cu1 0.000 0.000 0.000 1
Pt1 0.000 0.500 0.500 1
Pt2 0.069 0.208 0.500 1
```


The following is a PBE calculation of FeRe2B2 after structural relaxation, from the Alexandria database.

Summary:
- Energy relative to the elements: -0.2305 eV per atom
- Calculated total energy: -95.73 eV per cell

Geometry as CIF:
```
data_FeRe2B2
_chemical_formula_sum 'Fe2 Re4 B4'
_cell_length_a 5.409
_cell_length_b 5.409
_cell_length_c 3.459
_cell_angle_alpha 90.00
_cell_angle_beta 90.00
_cell_angle_gamma 90.00
_symmetry_space_group_name_H-M 'P 4/m b m'
_symmetry_Int_Tables_number 127
_symmetry_space_group_name_Hall '-P 4 2ab'
loop_
_atom_site_label
_atom_site_fract_x
_atom_site_fract_y
_atom_site_fract_z
_atom_site_occupancy
Fe1 0.000 0.000 0.000 1
Re1 0.178 0.322 0.500 1
B1 0.121 0.621 0.000 1
```


The following is a PBE calculation of AsRuW2 after structural relaxation, from the Alexandria database.

Summary:
- Energy relative to the elements: 0.3567 eV per atom
- Calculated total energy: -76.81 eV per cell

Geometry as CIF:
```
data_AsRuW2
_chemical_formula_sum 'As2 Ru2 W4'
_cell_length_a 5.157
_cell_length_b 8.216
_cell_length_c 2.909
_cell_angle_alpha 90.00
_cell_angle_beta 90.00
_cell_angle_gamma 90.00
_symmetry_space_group_name_H-M 'C m m m'
_symmetry_Int_Tables_number 65
_symmetry_space_group_name_Hall '-C 2 2'
loop_
_atom_site_label
_atom_site_fract_x
_atom_site_fract_y
_atom_site_fract_z
_atom_site_occupancy
As1 0.000 0.000 0.000 1
Ru1 0.000 0.500 0.000 1
W1 0.250 0.250 0.500 1
```